Entry 1:
Pm2Cd3Hg2 | PBE | optimized geometry

Lattice parameters (Å, degrees): 4.623 5.954 7.234 97.61 90.00 112.84
Fractional positions:
Pm 0.608 0.217 0.330
Pm 0.392 0.783 0.670
Cd 0.292 0.583 0.128
Cd 0.000 0.000 0.000
Cd 0.708 0.417 0.872
Hg 0.109 0.218 0.647
Hg 0.891 0.782 0.353

Properties
Mass density in g cm⁻³: 9.40
D(E_F) in states/eV/cell: 5.163
V in Å³ per cell: 181.6
Energy relative to the elements in kJ per mole of atoms: -27
Relative energy among the computed polymorphs in meV per atom: 63

=====

Entry 2:
Dy8In2Ni | PBE | optimized geometry

Lattice parameters (Å, degrees): 5.072 6.696 9.591 101.61 105.33 90.00
Fractional positions:
Dy 0.409 0.541 0.818
Dy 0.643 0.982 0.286
Dy 0.791 0.695 0.582
Dy 0.985 0.224 0.969
Dy 0.209 0.305 0.418
Dy 0.357 0.018 0.714
Dy 0.591 0.459 0.182
Dy 0.015 0.776 0.031
In 0.813 0.245 0.626
In 0.187 0.755 0.374
Ni 0.500 0.000 0.000

Properties
Mass density in g cm⁻³: 8.58
D(E_F) in states/eV/cell: 11.110
V in Å³ per cell: 307.2
Energy relative to the elements in kJ per mole of atoms: -21